Density functional theory data (GGA+U) for a geometry-optimized VAgP2O7 structure.

Calculated values
Crystal system: monoclinic
DOS(E_F): 0.000 states/eV/cell
Energy: -309.01 eV per cell
Spin magnetization: 0.1818 μB per atom

Cell lengths 7.439, 8.246, 9.717 Å; angles 90.00, 111.63, 90.00 degrees
Space group P2_1/c (No. 14)
Unique sites:
V1 0.238 0.007 0.249
Ag1 0.202 0.029 0.683
P1 0.176 0.706 0.450
P2 0.424 0.243 0.545
O1 0.039 0.586 0.340
O2 0.139 0.616 0.898
O3 0.186 0.688 0.609
O4 0.308 0.140 0.098
O5 0.319 0.200 0.382
O6 0.383 0.656 0.443
O7 0.491 0.092 0.645